This record from Alexandria via LeMat-Bulk describes Mn2TlCuF8 after structural relaxation. The functional is PBE with a Hubbard U.

Calculated values
- Volume: 173.1 Å³/cell
- Energy: -5.143 eV per atom
- Fermi-level density of states: 5.96 states/eV per cell

Cell lengths 5.0344, 5.0243, 6.8478 Å; angles 91.25, 88.62, 90.46 degrees
Site moments in Bohr magnetons follow the coordinates.
Atoms (fractional coordinates):
Cu1 0.0000 0.0000 0.0000  0.47
F1 0.8052 0.1965 0.2294  0.03
F2 0.3234 0.3207 0.5003  0.02
F3 0.1948 0.8035 0.7706  0.03
F4 0.2099 0.7879 0.2438  0.01
F5 0.2999 0.2982 0.0002  0.06
F6 0.6766 0.6793 0.4997  0.02
F7 0.7901 0.2121 0.7562  0.01
F8 0.7001 0.7018 0.9998  0.06
Tl1 0.0000 0.0000 0.5000  -0.01
Mn1 0.4945 0.5055 0.7632  4.68
Mn2 0.5055 0.4945 0.2368  4.68